Record 1
## Ag2As2I (PBE-GGA)

Data for a relaxed structure of Ag2As2I.

## Properties
- E_tot: -0.229 Ry/atom
- Energy relative to the elements, uncorrected: 92 kJ/mol of formula units
- Spin magnetization: 0.00 Bohr magnetons per cell
- Crystal system: tetragonal

The structure in POSCAR format:
```
Ag2As2I
1.0
-1.949 1.949 7.718
1.949 -1.949 7.718
1.949 1.949 -7.718
Ag As I
2 2 1
Cartesian
0.000 0.000 1.678
0.000 0.000 13.757
1.949 0.000 3.859
0.000 1.949 3.859
0.000 0.000 7.718
```



Record 2
## LaScGe (PBE-GGA)

Data for a relaxed structure of LaScGe.

## Properties
- E_tot: -0.442 Ry/atom
- Spin magnetization: 1.52 Bohr magnetons per cell
- ΔE_f: -725 meV per atom
- Crystal system: tetragonal

The structure in POSCAR format:
```
LaScGe
1.0
-2.186 2.186 8.163
2.186 -2.186 8.163
2.186 2.186 -8.163
La Sc Ge
2 2 2
Cartesian
0.000 0.000 2.876
0.000 0.000 13.451
2.186 0.000 0.000
0.000 2.186 0.000
0.000 0.000 6.216
0.000 0.000 10.110
```



Record 3
## ZnSiTc (PBE-GGA)

Data for a relaxed structure of ZnSiTc.

## Properties
- E_tot: -0.404 Ry/atom
- Energy relative to the elements, uncorrected: 56 kJ/mol of formula units
- Spin magnetization: 0.00 Bohr magnetons per cell
- Crystal system: orthorhombic

The structure in POSCAR format:
```
ZnSiTc
1.0
0.000 2.155 6.120
1.667 0.000 6.120
1.667 2.155 0.000
Zn Si Tc
1 1 1
Cartesian
0.000 0.000 0.000
1.667 2.155 8.310
1.667 2.155 4.012
```



Record 4
## Mn2W (PBE-GGA)

Data for a relaxed structure of Mn2W.

## Properties
- E_tot: -0.748 Ry/atom
- Spin magnetization: 0.94 Bohr magnetons per cell
- ΔE_f: 260 meV per atom
- Crystal system: orthorhombic

The structure in POSCAR format:
```
Mn2W
1.0
1.295 -6.979 0.000
1.295 6.979 0.000
0.000 0.000 4.417
Mn W
4 2
Cartesian
1.295 6.187 3.313
1.295 3.037 1.104
1.295 -3.037 3.313
1.295 -6.187 1.104
1.295 1.615 3.313
1.295 -1.615 1.104
```



Record 5
## Ac2Si3Ni2 (PBE-GGA)

Data for a relaxed structure of Ac2Si3Ni2.

## Properties
- E_tot: -0.414 Ry/atom
- Energy relative to the elements, uncorrected: -331 kJ/mol of formula units
- Spin magnetization: 0.00 Bohr magnetons per cell
- Crystal system: orthorhombic

The structure in POSCAR format:
```
Ac2Si3Ni2
1.0
2.264 -9.207 0.000
2.264 9.207 0.000
0.000 0.000 6.828
Ac Si Ni
4 6 4
Cartesian
2.264 8.173 5.121
2.264 6.243 1.707
2.264 -6.243 5.121
2.264 -8.173 1.707
2.264 5.052 5.121
2.264 1.117 3.906
2.264 1.117 6.336
2.264 -1.117 0.492
2.264 -1.117 2.922
2.264 -5.052 1.707
2.264 3.549 0.369
2.264 3.549 3.045
2.264 -3.549 3.783
2.264 -3.549 6.459
```



Record 6
## Ga2TeAsSe (PBE-GGA)

Data for a relaxed structure of Ga2TeAsSe.

## Properties
- E_tot: -0.203 Ry/atom
- Energy relative to the elements, uncorrected: 343 kJ/mol of formula units
- Spin magnetization: 0.00 Bohr magnetons per cell
- Crystal system: tetragonal

The structure in POSCAR format:
```
Ga2TeAsSe
1.0
5.433 0.000 0.000
0.000 5.433 0.000
0.000 0.000 5.351
Ga Te As Se
2 1 1 1
Cartesian
0.000 2.716 0.000
2.716 0.000 0.000
0.000 0.000 0.000
2.716 2.716 2.675
0.000 0.000 2.675
```



Record 7
## Tm2ThOs (PBE-GGA)

Data for a relaxed structure of Tm2ThOs.

## Properties
- E_tot: -0.529 Ry/atom
- Spin magnetization: 0.00 Bohr magnetons per cell
- ΔE_f: -303 meV per atom
- Crystal system: orthorhombic

The structure in POSCAR format:
```
Tm2ThOs
1.0
7.319 0.000 0.000
0.000 9.299 0.000
0.000 0.000 6.323
Tm Th Os
8 4 4
Cartesian
1.265 0.615 1.035
1.265 4.034 1.035
2.395 5.265 4.197
2.395 8.684 4.197
4.924 0.615 2.127
4.924 4.034 2.127
6.054 5.265 5.289
6.054 8.684 5.289
0.318 2.325 4.086
3.342 6.974 0.924
3.977 2.325 5.399
7.001 6.974 2.237
0.948 6.974 6.052
2.712 2.325 2.890
4.608 6.974 3.433
6.371 2.325 0.271
```



Record 8
## PrNdGdTm (PBE-GGA)

Data for a relaxed structure of PrNdGdTm.

## Properties
- E_tot: -0.509 Ry/atom
- Spin magnetization: 7.93 Bohr magnetons per cell
- ΔE_f: 101 meV per atom
- Crystal system: cubic

The structure in POSCAR format:
```
PrNdGdTm
1.0
0.000 4.070 4.070
4.070 0.000 4.070
4.070 4.070 0.000
Pr Nd Gd Tm
1 1 1 1
Cartesian
0.000 0.000 0.000
4.070 4.070 4.070
6.105 6.105 6.105
2.035 2.035 2.035
```



Record 9
## HfPaMnIr (PBE-GGA)

Data for a relaxed structure of HfPaMnIr.

## Properties
- E_tot: -0.712 Ry/atom
- Spin magnetization: 1.00 Bohr magnetons per cell
- ΔE_f: -314 meV per atom
- Crystal system: cubic

The structure in POSCAR format:
```
HfPaMnIr
1.0
0.000 3.338 3.338
3.338 0.000 3.338
3.338 3.338 0.000
Hf Pa Mn Ir
1 1 1 1
Cartesian
0.000 0.000 0.000
3.338 3.338 3.338
5.007 5.007 5.007
1.669 1.669 1.669
```



Record 10
## Li3In6Sn (PBE-GGA)

Data for a relaxed structure of Li3In6Sn.

## Properties
- E_tot: -0.200 Ry/atom
- Spin magnetization: 0.00 Bohr magnetons per cell
- ΔE_f: -108 meV per atom
- Crystal system: orthorhombic

The structure in POSCAR format:
```
Li3In6Sn
1.0
4.710 -7.352 0.000
4.710 7.352 0.000
0.000 0.000 6.777
Li In Sn
6 12 2
Cartesian
4.710 5.607 3.388
3.155 1.838 0.385
3.155 -1.838 3.773
6.266 1.838 0.385
6.266 -1.838 3.773
4.710 -5.607 0.000
2.035 2.612 4.553
1.589 0.377 2.301
1.589 -0.377 5.689
4.710 3.976 5.697
2.035 -2.612 1.165
4.710 0.385 5.049
4.710 -0.385 1.661
7.386 2.612 4.553
4.710 -3.976 2.308
7.832 0.377 2.301
7.832 -0.377 5.689
7.386 -2.612 1.165
4.710 2.762 2.749
4.710 -2.762 6.137
```



Record 11
## KTlTeH2 (PBE-GGA)

Data for a relaxed structure of KTlTeH2.

## Properties
- E_tot: -0.170 Ry/atom
- Spin magnetization: 0.24 Bohr magnetons per cell
- Crystal system: tetragonal

The structure in POSCAR format:
```
KTlTeH2
1.0
4.406 0.000 0.000
0.000 4.406 0.000
0.000 0.000 7.975
K Tl Te H
1 1 1 2
Cartesian
0.000 0.000 0.000
0.000 0.000 3.988
2.203 2.203 0.000
0.000 2.203 3.988
2.203 0.000 3.988
```



- Look up the E_tot of the sixth one.
  -0.203 Ry/atom